(1)
# Hg2RuPb, PBEsol geometry, DFT SCAN
data_Hg2RuPb
_chemical_formula_sum 'Hg2 Ru1 Pb1'
_symmetry_space_group_name_H-M 'P 4/m m m'
_symmetry_Int_Tables_number 123
_symmetry_space_group_name_Hall '-P 4 2'
_cell_length_a 3.1187
_cell_length_b 3.1187
_cell_length_c 8.5924
_cell_angle_alpha 90.00
_cell_angle_beta 90.00
_cell_angle_gamma 90.00
loop_
_atom_site_label
_atom_site_type_symbol
_atom_site_fract_x
_atom_site_fract_y
_atom_site_fract_z
Hg1 Hg 0.0000 0.0000 0.2030
Ru1 Ru 0.5000 0.5000 0.0000
Pb1 Pb 0.5000 0.5000 0.5000
# **DFT total energy**: -245.1 eV/cell

(2)
# AgAuSe3, PBEsol geometry, DFT SCAN
data_AgAuSe3
_chemical_formula_sum 'Ag1 Au1 Se3'
_symmetry_space_group_name_H-M 'P m -3 m'
_symmetry_Int_Tables_number 221
_symmetry_space_group_name_Hall '-P 4 2 3'
_cell_length_a 5.0175
_cell_length_b 5.0175
_cell_length_c 5.0175
_cell_angle_alpha 90.00
_cell_angle_beta 90.00
_cell_angle_gamma 90.00
loop_
_atom_site_label
_atom_site_type_symbol
_atom_site_fract_x
_atom_site_fract_y
_atom_site_fract_z
Ag1 Ag 0.0000 0.0000 0.0000
Au1 Au 0.5000 0.5000 0.5000
Se1 Se 0.0000 0.5000 0.5000
# **Formation energy (no corrections)**: 3.21 eV/f.u.

(3)
# TlCrSi2, PBEsol geometry, DFT SCAN
data_TlCrSi2
_chemical_formula_sum 'Tl2 Cr2 Si4'
_symmetry_space_group_name_H-M 'A m m 2'
_symmetry_Int_Tables_number 38
_symmetry_space_group_name_Hall 'A 2 -2'
_cell_length_a 3.9958
_cell_length_b 3.3819
_cell_length_c 9.5859
_cell_angle_alpha 90.00
_cell_angle_beta 90.00
_cell_angle_gamma 90.00
loop_
_atom_site_label
_atom_site_type_symbol
_atom_site_fract_x
_atom_site_fract_y
_atom_site_fract_z
Tl1 Tl 0.0000 0.0000 0.0000
Cr1 Cr 0.5000 0.0000 0.3953
Si1 Si 0.0000 0.0000 0.2671
Si2 Si 0.5000 0.0000 0.7037
# **Offset from the most stable computed form**: 0.1079 eV/atom
# **Formation energy (no corrections)**: 2.25 eV/f.u.

(4)
# FeCoS2, PBEsol geometry, DFT SCAN
data_FeCoS2
_chemical_formula_sum 'Fe3 Co3 S6'
_symmetry_space_group_name_H-M 'R -3 m'
_symmetry_Int_Tables_number 166
_symmetry_space_group_name_Hall '-R 3 2"'
_cell_length_a 3.1784
_cell_length_b 3.1784
_cell_length_c 20.3028
_cell_angle_alpha 90.00
_cell_angle_beta 90.00
_cell_angle_gamma 120.00
loop_
_atom_site_label
_atom_site_type_symbol
_atom_site_fract_x
_atom_site_fract_y
_atom_site_fract_z
Fe1 Fe 0.0000 0.0000 0.0000
Co1 Co 0.0000 0.0000 0.5000
S1 S 0.0000 0.0000 0.1060
# **Formation energy (no corrections)**: -0.75 eV/f.u.

(5)
# MnZnRh2, PBEsol geometry, DFT SCAN
data_MnZnRh2
_chemical_formula_sum 'Mn2 Zn2 Rh4'
_symmetry_space_group_name_H-M 'I -4 m 2'
_symmetry_Int_Tables_number 119
_symmetry_space_group_name_Hall 'I -4 -2'
_cell_length_a 3.6581
_cell_length_b 3.6581
_cell_length_c 7.8000
_cell_angle_alpha 90.00
_cell_angle_beta 90.00
_cell_angle_gamma 90.00
loop_
_atom_site_label
_atom_site_type_symbol
_atom_site_fract_x
_atom_site_fract_y
_atom_site_fract_z
Mn1 Mn 0.0000 0.0000 0.0000
Zn1 Zn 0.0000 0.5000 0.2500
Rh1 Rh 0.0000 0.0000 0.5000
Rh2 Rh 0.0000 0.5000 0.7500
# **DFT total energy**: -201.6 eV/cell

(6)
# CaGa2P2, PBEsol geometry, DFT SCAN
data_CaGa2P2
_chemical_formula_sum 'Ca2 Ga4 P4'
_symmetry_space_group_name_H-M 'P 63/m m c'
_symmetry_Int_Tables_number 194
_symmetry_space_group_name_Hall '-P 6c 2c'
_cell_length_a 3.8153
_cell_length_b 3.8153
_cell_length_c 16.2724
_cell_angle_alpha 90.00
_cell_angle_beta 90.00
_cell_angle_gamma 120.00
loop_
_atom_site_label
_atom_site_type_symbol
_atom_site_fract_x
_atom_site_fract_y
_atom_site_fract_z
Ca1 Ca 0.0000 0.0000 0.0000
Ga1 Ga 0.3333 0.6667 0.1752
P1 P 0.3333 0.6667 0.6147
# **Offset from the most stable computed form**: 0.0000 eV/atom

(7)
# ZrMnBe2, PBEsol geometry, DFT SCAN
data_ZrMnBe2
_chemical_formula_sum 'Zr4 Mn4 Be8'
_symmetry_space_group_name_H-M 'F -4 3 m'
_symmetry_Int_Tables_number 216
_symmetry_space_group_name_Hall 'F -4 2 3'
_cell_length_a 5.8452
_cell_length_b 5.8452
_cell_length_c 5.8452
_cell_angle_alpha 90.00
_cell_angle_beta 90.00
_cell_angle_gamma 90.00
loop_
_atom_site_label
_atom_site_type_symbol
_atom_site_fract_x
_atom_site_fract_y
_atom_site_fract_z
Zr1 Zr 0.0000 0.0000 0.0000
Mn1 Mn 0.2500 0.2500 0.2500
Be1 Be 0.0000 0.0000 0.5000
Be2 Be 0.2500 0.2500 0.7500
# **Offset from the most stable computed form**: 0.0688 eV/atom

(8)
# KMnSb2, PBEsol geometry, DFT SCAN
data_KMnSb2
_chemical_formula_sum 'K3 Mn3 Sb6'
_symmetry_space_group_name_H-M 'R 3 m'
_symmetry_Int_Tables_number 160
_symmetry_space_group_name_Hall 'R 3 -2"'
_cell_length_a 4.0894
_cell_length_b 4.0894
_cell_length_c 22.9847
_cell_angle_alpha 90.00
_cell_angle_beta 90.00
_cell_angle_gamma 120.00
loop_
_atom_site_label
_atom_site_type_symbol
_atom_site_fract_x
_atom_site_fract_y
_atom_site_fract_z
K1 K 0.0000 0.0000 0.0000
Mn1 Mn 0.0000 0.0000 0.8306
Sb1 Sb 0.0000 0.0000 0.2183
Sb2 Sb 0.0000 0.0000 0.4444
# **Offset from the most stable computed form**: 0.0087 eV/atom
# **Formation energy (no corrections)**: -1.32 eV/f.u.

(9)
# BaLaCd4, PBEsol geometry, DFT SCAN
data_BaLaCd4
_chemical_formula_sum 'Ba4 La4 Cd16'
_symmetry_space_group_name_H-M 'F -4 3 m'
_symmetry_Int_Tables_number 216
_symmetry_space_group_name_Hall 'F -4 2 3'
_cell_length_a 8.6048
_cell_length_b 8.6048
_cell_length_c 8.6048
_cell_angle_alpha 90.00
_cell_angle_beta 90.00
_cell_angle_gamma 90.00
loop_
_atom_site_label
_atom_site_type_symbol
_atom_site_fract_x
_atom_site_fract_y
_atom_site_fract_z
Ba1 Ba 0.0000 0.0000 0.0000
La1 La 0.2500 0.2500 0.7500
Cd1 Cd 0.1242 0.1242 0.3758
# **DFT total energy**: -825.7 eV/cell

(10)
# Zr2Tl, PBEsol geometry, DFT SCAN
data_Zr2Tl
_chemical_formula_sum 'Zr8 Tl4'
_symmetry_space_group_name_H-M 'P n m a'
_symmetry_Int_Tables_number 62
_symmetry_space_group_name_Hall '-P 2ac 2n'
_cell_length_a 6.1222
_cell_length_b 4.6296
_cell_length_c 9.2882
_cell_angle_alpha 90.00
_cell_angle_beta 90.00
_cell_angle_gamma 90.00
loop_
_atom_site_label
_atom_site_type_symbol
_atom_site_fract_x
_atom_site_fract_y
_atom_site_fract_z
Zr1 Zr 0.1006 0.2500 0.2209
Zr2 Zr 0.1413 0.2500 0.5609
Tl1 Tl 0.1587 0.2500 0.8883
# **DFT total energy**: -538.0 eV/cell

(11)
# MgCd2HgP, PBEsol geometry, DFT SCAN
data_MgCd2HgP
_chemical_formula_sum 'Mg1 Cd2 Hg1 P1'
_symmetry_space_group_name_H-M 'P 4/m m m'
_symmetry_Int_Tables_number 123
_symmetry_space_group_name_Hall '-P 4 2'
_cell_length_a 5.4924
_cell_length_b 5.4924
_cell_length_c 4.6563
_cell_angle_alpha 90.00
_cell_angle_beta 90.00
_cell_angle_gamma 90.00
loop_
_atom_site_label
_atom_site_type_symbol
_atom_site_fract_x
_atom_site_fract_y
_atom_site_fract_z
Mg1 Mg 0.0000 0.0000 0.0000
Cd1 Cd 0.0000 0.5000 0.0000
Hg1 Hg 0.5000 0.5000 0.5000
P1 P 0.0000 0.0000 0.5000
# **DFT total energy**: -142.3 eV/cell

(12)
# BaIn3F, PBEsol geometry, DFT SCAN
data_BaIn3F
_chemical_formula_sum 'Ba1 In3 F1'
_symmetry_space_group_name_H-M 'P m -3 m'
_symmetry_Int_Tables_number 221
_symmetry_space_group_name_Hall '-P 4 2 3'
_cell_length_a 5.1408
_cell_length_b 5.1408
_cell_length_c 5.1408
_cell_angle_alpha 90.00
_cell_angle_beta 90.00
_cell_angle_gamma 90.00
loop_
_atom_site_label
_atom_site_type_symbol
_atom_site_fract_x
_atom_site_fract_y
_atom_site_fract_z
Ba1 Ba 0.0000 0.0000 0.0000
In1 In 0.0000 0.5000 0.5000
F1 F 0.5000 0.5000 0.5000
# **Formation energy (no corrections)**: -4.00 eV/f.u.

(13)
# Si2HIr, PBEsol geometry, DFT SCAN
data_Si2HIr
_chemical_formula_sum 'Si8 H4 Ir4'
_symmetry_space_group_name_H-M 'F m -3 m'
_symmetry_Int_Tables_number 225
_symmetry_space_group_name_Hall '-F 4 2 3'
_cell_length_a 5.7174
_cell_length_b 5.7174
_cell_length_c 5.7174
_cell_angle_alpha 90.00
_cell_angle_beta 90.00
_cell_angle_gamma 90.00
loop_
_atom_site_label
_atom_site_type_symbol
_atom_site_fract_x
_atom_site_fract_y
_atom_site_fract_z
Si1 Si 0.2500 0.2500 0.2500
H1 H 0.0000 0.0000 0.0000
Ir1 Ir 0.0000 0.0000 0.5000
# **DFT total energy**: -375.8 eV/cell

(14)
# ZrH2IrRu, PBEsol geometry, DFT SCAN
data_ZrH2IrRu
_chemical_formula_sum 'Zr1 H2 Ir1 Ru1'
_symmetry_space_group_name_H-M 'P 4/m m m'
_symmetry_Int_Tables_number 123
_symmetry_space_group_name_Hall '-P 4 2'
_cell_length_a 3.5975
_cell_length_b 3.5975
_cell_length_c 4.9380
_cell_angle_alpha 90.00
_cell_angle_beta 90.00
_cell_angle_gamma 90.00
loop_
_atom_site_label
_atom_site_type_symbol
_atom_site_fract_x
_atom_site_fract_y
_atom_site_fract_z
Zr1 Zr 0.0000 0.0000 0.0000
H1 H 0.0000 0.5000 0.5000
Ir1 Ir 0.5000 0.5000 0.5000
Ru1 Ru 0.5000 0.5000 0.0000
# **DFT total energy**: -142.3 eV/cell

(15)
# ZrAs2Pb, PBEsol geometry, DFT SCAN
data_ZrAs2Pb
_chemical_formula_sum 'Zr2 As4 Pb2'
_symmetry_space_group_name_H-M 'I 4/m m m'
_symmetry_Int_Tables_number 139
_symmetry_space_group_name_Hall '-I 4 2'
_cell_length_a 4.2970
_cell_length_b 4.2970
_cell_length_c 8.9899
_cell_angle_alpha 90.00
_cell_angle_beta 90.00
_cell_angle_gamma 90.00
loop_
_atom_site_label
_atom_site_type_symbol
_atom_site_fract_x
_atom_site_fract_y
_atom_site_fract_z
Zr1 Zr 0.0000 0.0000 0.0000
As1 As 0.0000 0.5000 0.2500
Pb1 Pb 0.0000 0.0000 0.5000
# **DFT total energy**: -294.6 eV/cell

(16)
# TlOs3N, PBEsol geometry, DFT SCAN
data_TlOs3N
_chemical_formula_sum 'Tl1 Os3 N1'
_symmetry_space_group_name_H-M 'P m -3 m'
_symmetry_Int_Tables_number 221
_symmetry_space_group_name_Hall '-P 4 2 3'
_cell_length_a 4.9930
_cell_length_b 4.9930
_cell_length_c 4.9930
_cell_angle_alpha 90.00
_cell_angle_beta 90.00
_cell_angle_gamma 90.00
loop_
_atom_site_label
_atom_site_type_symbol
_atom_site_fract_x
_atom_site_fract_y
_atom_site_fract_z
Tl1 Tl 0.0000 0.0000 0.0000
Os1 Os 0.0000 0.0000 0.5000
N1 N 0.5000 0.5000 0.5000
# **Offset from the most stable computed form**: 3.3837 eV/atom
# **Formation energy (no corrections)**: 22.54 eV/f.u.

(17)
# TcCl, PBEsol geometry, DFT SCAN
data_TcCl
_chemical_formula_sum 'Tc4 Cl4'
_symmetry_space_group_name_H-M 'C 1 2/m 1'
_symmetry_Int_Tables_number 12
_symmetry_space_group_name_Hall '-C 2y'
_cell_length_a 9.2108
_cell_length_b 3.0290
_cell_length_c 6.1704
_cell_angle_alpha 90.00
_cell_angle_beta 113.46
_cell_angle_gamma 90.00
loop_
_atom_site_label
_atom_site_type_symbol
_atom_site_fract_x
_atom_site_fract_y
_atom_site_fract_z
Tc1 Tc 0.1589 0.0000 0.0003
Cl1 Cl 0.0760 0.5000 0.2865
# **Offset from the most stable computed form**: 0.5332 eV/atom
# **Formation energy (no corrections)**: 0.64 eV/f.u.

(18)
# ZrBeAg, PBEsol geometry, DFT SCAN
data_ZrBeAg
_chemical_formula_sum 'Zr4 Be4 Ag4'
_symmetry_space_group_name_H-M 'F -4 3 m'
_symmetry_Int_Tables_number 216
_symmetry_space_group_name_Hall 'F -4 2 3'
_cell_length_a 5.8787
_cell_length_b 5.8787
_cell_length_c 5.8787
_cell_angle_alpha 90.00
_cell_angle_beta 90.00
_cell_angle_gamma 90.00
loop_
_atom_site_label
_atom_site_type_symbol
_atom_site_fract_x
_atom_site_fract_y
_atom_site_fract_z
Zr1 Zr 0.0000 0.0000 0.0000
Be1 Be 0.2500 0.2500 0.2500
Ag1 Ag 0.0000 0.0000 0.5000
# **Offset from the most stable computed form**: 0.0000 eV/atom

(19)
# Li2TlAs2, PBEsol geometry, DFT SCAN
data_Li2TlAs2
_chemical_formula_sum 'Li4 Tl2 As4'
_symmetry_space_group_name_H-M 'P 4/m b m'
_symmetry_Int_Tables_number 127
_symmetry_space_group_name_Hall '-P 4 2ab'
_cell_length_a 8.0759
_cell_length_b 8.0759
_cell_length_c 2.8734
_cell_angle_alpha 90.00
_cell_angle_beta 90.00
_cell_angle_gamma 90.00
loop_
_atom_site_label
_atom_site_type_symbol
_atom_site_fract_x
_atom_site_fract_y
_atom_site_fract_z
Li1 Li 0.1268 0.3732 0.0000
Tl1 Tl 0.0000 0.0000 0.5000
As1 As 0.1673 0.6673 0.5000
# **Offset from the most stable computed form**: 0.0418 eV/atom

(20)
# NdTa2O6F, PBEsol geometry, DFT SCAN
data_NdTa2O6F
_chemical_formula_sum 'Nd4 Ta8 O24 F4'
_symmetry_space_group_name_H-M 'I m m a'
_symmetry_Int_Tables_number 74
_symmetry_space_group_name_Hall '-I 2b 2'
_cell_length_a 7.2969
_cell_length_b 7.5304
_cell_length_c 10.3521
_cell_angle_alpha 90.00
_cell_angle_beta 90.00
_cell_angle_gamma 90.00
loop_
_atom_site_label
_atom_site_type_symbol
_atom_site_fract_x
_atom_site_fract_y
_atom_site_fract_z
Nd1 Nd 0.0000 0.0000 0.0000
Ta1 Ta 0.0000 0.0000 0.5000
Ta2 Ta 0.2500 0.2500 0.2500
O1 O 0.0000 0.2500 0.1734
O2 O 0.0000 0.2500 0.5533
O3 O 0.2026 0.0644 0.3795
F1 F 0.0000 0.2500 0.8852
# **Formation energy (no corrections)**: -33.56 eV/f.u.